Record 1
Below is GaCuPdPt after structural relaxation, with properties calculated at the PBE-GGA level.

Properties
Energy above the lowest structure with this stoichiometry (meV per atom): 22
Formation energy (meV per atom): -466.3

Structure (CIF):
```
data_GaCuPdPt
_chemical_formula_sum 'Ga4 Cu4 Pd4 Pt4'
_cell_length_a 6.120
_cell_length_b 6.120
_cell_length_c 6.120
_cell_angle_alpha 90.00
_cell_angle_beta 90.00
_cell_angle_gamma 90.00
_space_group_name_H-M_alt 'F -4 3 m'
_space_group_IT_number 216
_space_group_name_Hall 'F -4 2 3'
loop_
_atom_site_label
_atom_site_type_symbol
_atom_site_fract_x
_atom_site_fract_y
_atom_site_fract_z
Ga1 Ga 0.000 0.000 0.000
Cu1 Cu 0.000 0.000 0.500
Pd1 Pd 0.250 0.250 0.750
Pt1 Pt 0.250 0.250 0.250
```

=====

Record 2
Below is CaBPd3 after structural relaxation, with properties calculated at the PBE-GGA level.

Properties
Formation energy (meV per atom): 49.1

Structure (CIF):
```
data_CaBPd3
_chemical_formula_sum 'Ca2 B2 Pd6'
_cell_length_a 3.118
_cell_length_b 5.417
_cell_length_c 13.738
_cell_angle_alpha 90.00
_cell_angle_beta 90.00
_cell_angle_gamma 90.00
_space_group_name_H-M_alt 'A m m 2'
_space_group_IT_number 38
loop_
_space_group_symop_operation_xyz
'x,y,z'
'-x,-y,z'
'-x,y,z'
'x,-y,z'
'x,y+1/2,z+1/2'
'-x,-y+1/2,z+1/2'
'-x,y+1/2,z+1/2'
'x,-y+1/2,z+1/2'
loop_
_atom_site_label
_atom_site_type_symbol
_atom_site_fract_x
_atom_site_fract_y
_atom_site_fract_z
Ca1 Ca 0.000 0.000 0.000
B1 B 0.500 0.000 0.674
Pd1 Pd 0.000 0.246 0.183
Pd2 Pd 0.500 0.000 0.832
```

=====

Record 3
Below is Mn2CoCl after structural relaxation, with properties calculated at the PBE-GGA level.

Properties
E_form (uncorrected) (eV per atom): 0.29
Energy above the lowest structure with this stoichiometry (meV per atom): 270

Structure (CIF):
```
data_Mn2CoCl
_chemical_formula_sum 'Mn4 Co2 Cl2'
_cell_length_a 3.162
_cell_length_b 3.256
_cell_length_c 12.284
_cell_angle_alpha 90.00
_cell_angle_beta 90.00
_cell_angle_gamma 90.00
_space_group_name_H-M_alt 'A m m 2'
_space_group_IT_number 38
loop_
_space_group_symop_operation_xyz
'x,y,z'
'-x,-y,z'
'-x,y,z'
'x,-y,z'
'x,y+1/2,z+1/2'
'-x,-y+1/2,z+1/2'
'-x,y+1/2,z+1/2'
'x,-y+1/2,z+1/2'
loop_
_atom_site_label
_atom_site_type_symbol
_atom_site_fract_x
_atom_site_fract_y
_atom_site_fract_z
Mn1 Mn 0.000 0.000 0.000
Mn2 Mn 0.500 0.000 0.372
Co1 Co 0.500 0.000 0.577
Cl1 Cl 0.000 0.000 0.753
```

=====

Record 4
Below is TcAg6Cl12 after structural relaxation, with properties calculated at the PBE-GGA level.

Properties
E_form (uncorrected) (eV per atom): -0.49

Structure (CIF):
```
data_TcAg6Cl12
_chemical_formula_sum 'Tc3 Ag18 Cl36'
_cell_length_a 11.3246
_cell_length_b 11.3246
_cell_length_c 13.1448
_cell_angle_alpha 90.00
_cell_angle_beta 90.00
_cell_angle_gamma 120.00
_space_group_name_H-M_alt 'R -3'
_space_group_IT_number 148
_space_group_name_Hall '-R 3'
loop_
_atom_site_label
_atom_site_type_symbol
_atom_site_fract_x
_atom_site_fract_y
_atom_site_fract_z
Tc1 Tc 0.0000 0.0000 0.0000
Ag1 Ag 0.0291 0.7687 0.6487
Cl1 Cl 0.0125 0.8101 0.3810
Cl2 Cl 0.0270 0.8451 0.8965
```

=====

Record 5
Below is NdGa3CoCu after structural relaxation, with properties calculated at the PBE-GGA level.

Properties
Formation energy (meV per atom): -212.2

Structure (CIF):
```
data_NdGa3CoCu
_chemical_formula_sum 'Nd4 Ga12 Co4 Cu4'
_cell_length_a 6.251
_cell_length_b 11.390
_cell_length_c 6.356
_cell_angle_alpha 90.00
_cell_angle_beta 90.00
_cell_angle_gamma 90.00
_space_group_name_H-M_alt 'C m c m'
_space_group_IT_number 63
_space_group_name_Hall '-C 2c 2'
loop_
_atom_site_label
_atom_site_type_symbol
_atom_site_fract_x
_atom_site_fract_y
_atom_site_fract_z
Nd1 Nd 0.000 0.239 0.250
Ga1 Ga 0.000 0.299 0.750
Ga2 Ga 0.211 0.000 0.000
Co1 Co 0.000 0.104 0.750
Cu1 Cu 0.000 0.496 0.250
```

=====

Record 6
Below is LiP2HO after structural relaxation, with properties calculated at the PBE-GGA level.

Properties
Energy above the lowest structure with this stoichiometry (meV per atom): 662

Structure (CIF):
```
data_LiP2HO
_chemical_formula_sum 'Li1 P2 H1 O1'
_cell_length_a 4.368
_cell_length_b 4.368
_cell_length_c 3.314
_cell_angle_alpha 90.00
_cell_angle_beta 90.00
_cell_angle_gamma 90.00
_space_group_name_H-M_alt 'P 4/m m m'
_space_group_IT_number 123
_space_group_name_Hall '-P 4 2'
loop_
_atom_site_label
_atom_site_type_symbol
_atom_site_fract_x
_atom_site_fract_y
_atom_site_fract_z
Li1 Li 0.000 0.000 0.000
P1 P 0.000 0.500 0.000
H1 H 0.500 0.500 0.500
O1 O 0.000 0.000 0.500
```

=====

Record 7
Below is BiSI3 after structural relaxation, with properties calculated at the PBE-GGA level.

Properties
E_form (uncorrected) (eV per atom): 0.37
Energy above the lowest structure with this stoichiometry (meV per atom): 0

Structure (CIF):
```
data_BiSI3
_chemical_formula_sum 'Bi1 S1 I3'
_cell_length_a 6.150
_cell_length_b 6.150
_cell_length_c 6.150
_cell_angle_alpha 90.00
_cell_angle_beta 90.00
_cell_angle_gamma 90.00
_space_group_name_H-M_alt 'P m -3 m'
_space_group_IT_number 221
_space_group_name_Hall '-P 4 2 3'
loop_
_atom_site_label
_atom_site_type_symbol
_atom_site_fract_x
_atom_site_fract_y
_atom_site_fract_z
Bi1 Bi 0.000 0.000 0.000
S1 S 0.500 0.500 0.500
I1 I 0.000 0.000 0.500
```

=====

Record 8
Below is CeHoMn17 after structural relaxation, with properties calculated at the PBE-GGA level.

Properties
Formation energy (meV per atom): 11.7

Structure (CIF):
```
data_CeHoMn17
_chemical_formula_sum 'Ce3 Ho3 Mn51'
_cell_length_a 8.6250
_cell_length_b 8.6250
_cell_length_c 11.6093
_cell_angle_alpha 90.00
_cell_angle_beta 90.00
_cell_angle_gamma 120.00
_space_group_name_H-M_alt 'R 3 m'
_space_group_IT_number 160
_space_group_name_Hall 'R 3 -2"'
loop_
_atom_site_label
_atom_site_type_symbol
_atom_site_fract_x
_atom_site_fract_y
_atom_site_fract_z
Ce1 Ce 0.0000 0.0000 0.0000
Ho1 Ho 0.0000 0.0000 0.7091
Mn1 Mn 0.0000 0.0000 0.2540
Mn2 Mn 0.0000 0.0000 0.4545
Mn3 Mn 0.9999 0.2737 0.3559
Mn4 Mn 0.0097 0.5048 0.2177
Mn5 Mn 0.1681 0.3362 0.1905
Mn6 Mn 0.1743 0.3485 0.8238
```

=====

Record 9
Below is ErScZn2Ga2 after structural relaxation, with properties calculated at the PBE-GGA level.

Properties
Formation energy (meV per atom): -543.7

Structure (CIF):
```
data_ErScZn2Ga2
_chemical_formula_sum 'Er1 Sc1 Zn2 Ga2'
_cell_length_a 4.3470
_cell_length_b 4.3470
_cell_length_c 6.8647
_cell_angle_alpha 90.00
_cell_angle_beta 90.00
_cell_angle_gamma 120.00
_space_group_name_H-M_alt 'P -3 m 1'
_space_group_IT_number 164
_space_group_name_Hall '-P 3 2"'
loop_
_atom_site_label
_atom_site_type_symbol
_atom_site_fract_x
_atom_site_fract_y
_atom_site_fract_z
Er1 Er 0.0000 0.0000 0.0000
Sc1 Sc 0.0000 0.0000 0.5000
Zn1 Zn 0.3333 0.6667 0.2748
Ga1 Ga 0.3333 0.6667 0.7351
```

=====

Record 10
Below is MgAlCdHg after structural relaxation, with properties calculated at the PBE-GGA level.

Properties
Formation energy (meV per atom): 31.7

Structure (CIF):
```
data_MgAlCdHg
_chemical_formula_sum 'Mg4 Al4 Cd4 Hg4'
_cell_length_a 6.989
_cell_length_b 6.989
_cell_length_c 6.989
_cell_angle_alpha 90.00
_cell_angle_beta 90.00
_cell_angle_gamma 90.00
_space_group_name_H-M_alt 'F -4 3 m'
_space_group_IT_number 216
_space_group_name_Hall 'F -4 2 3'
loop_
_atom_site_label
_atom_site_type_symbol
_atom_site_fract_x
_atom_site_fract_y
_atom_site_fract_z
Mg1 Mg 0.000 0.000 0.000
Al1 Al 0.000 0.000 0.500
Cd1 Cd 0.250 0.250 0.750
Hg1 Hg 0.250 0.250 0.250
```

=====

Record 11
Below is LiHfAu2Br after structural relaxation, with properties calculated at the PBE-GGA level.

Properties
E_form (uncorrected) (eV per atom): 0.57

Structure (CIF):
```
data_LiHfAu2Br
_chemical_formula_sum 'Li1 Hf1 Au2 Br1'
_cell_length_a 5.254
_cell_length_b 5.254
_cell_length_c 4.101
_cell_angle_alpha 90.00
_cell_angle_beta 90.00
_cell_angle_gamma 90.00
_space_group_name_H-M_alt 'P 4/m m m'
_space_group_IT_number 123
_space_group_name_Hall '-P 4 2'
loop_
_atom_site_label
_atom_site_type_symbol
_atom_site_fract_x
_atom_site_fract_y
_atom_site_fract_z
Li1 Li 0.000 0.000 0.000
Hf1 Hf 0.500 0.500 0.000
Au1 Au 0.000 0.500 0.500
Br1 Br 0.000 0.000 0.500
```

=====

Record 12
Below is ScSIO2 after structural relaxation, with properties calculated at the PBE-GGA level.

Properties
E_form (uncorrected) (eV per atom): -0.96

Structure (CIF):
```
data_ScSIO2
_chemical_formula_sum 'Sc1 S1 I1 O2'
_cell_length_a 3.977
_cell_length_b 3.977
_cell_length_c 7.246
_cell_angle_alpha 90.00
_cell_angle_beta 90.00
_cell_angle_gamma 90.00
_space_group_name_H-M_alt 'P 4/m m m'
_space_group_IT_number 123
_space_group_name_Hall '-P 4 2'
loop_
_atom_site_label
_atom_site_type_symbol
_atom_site_fract_x
_atom_site_fract_y
_atom_site_fract_z
Sc1 Sc 0.000 0.000 0.000
S1 S 0.500 0.500 0.500
I1 I 0.000 0.000 0.500
O1 O 0.000 0.500 0.000
```

=====

no.,M_tot (Bohr magnetons per cell)
1,0.0
2,0.0
3,18.8
4,4.6
5,0.0
6,0.0
7,2.0
8,15.1
9,0.0
10,0.0
11,0.0
12,0.0